1.
The following is a DFT calculation (PBE) of a geometry-optimized Ho2Tc2C3 structure.

abc: 11.5938 3.3134 5.6613
angles: 90.00 113.68 90.00
Space group C2/m (No. 12)
Inequivalent atoms, fractional coordinates:
Ho (0.1094, 0.0000, 0.3224) [4 per cell]
Tc (0.1578, 0.5000, 0.8216) [4 per cell]
C (0.0000, 0.5000, 0.5000) [2 per cell]
C (0.2464, 0.5000, 0.2302) [4 per cell]

Computed properties:
uncorrected energy = -8.586 eV per atom


2.
The following is a DFT calculation (PBE) of a geometry-optimized NaLiZn structure.

abc: 4.9060 4.9060 8.3797
angles: 90.00 90.00 120.00
Space group P3m1 (No. 156)
Inequivalent atoms, fractional coordinates:
Na (0.0000, 0.0000, 0.0000) [1 per cell]
Na (0.0000, 0.0000, 0.3398) [1 per cell]
Na (0.6667, 0.3333, 0.6799) [1 per cell]
Li (0.0000, 0.0000, 0.6685) [1 per cell]
Li (0.6667, 0.3333, 0.0203) [1 per cell]
Li (0.6667, 0.3333, 0.3423) [1 per cell]
Zn (0.3333, 0.6667, 0.1750) [1 per cell]
Zn (0.3333, 0.6667, 0.5091) [1 per cell]
Zn (0.3333, 0.6667, 0.8410) [1 per cell]

Computed properties:
uncorrected energy = -1.446 eV per atom


3.
The following is a DFT calculation (PBE) of a geometry-optimized LaHo2Ni2B2N3 structure.

abc: 3.5309 3.5309 20.5094
angles: 90.00 90.00 90.00
Space group I4/mmm (No. 139)
Inequivalent atoms, fractional coordinates:
La (0.0000, 0.0000, 0.0000) [2 per cell]
Ho (0.0000, 0.0000, 0.3730) [4 per cell]
Ni (0.0000, 0.5000, 0.2500) [4 per cell]
B (0.0000, 0.0000, 0.1923) [4 per cell]
N (0.0000, 0.0000, 0.1218) [4 per cell]
N (0.0000, 0.0000, 0.5000) [2 per cell]

Computed properties:
uncorrected energy = -7.470 eV per atom


4.
The following is a DFT calculation (PBE) of a geometry-optimized NbFeNiB structure.

abc: 5.7009 5.7009 5.7009
angles: 90.00 90.00 90.00
Space group F-43m (No. 216)
Inequivalent atoms, fractional coordinates:
Nb (0.0000, 0.0000, 0.0000) [4 per cell]
Fe (0.0000, 0.0000, 0.5000) [4 per cell]
Ni (0.2500, 0.2500, 0.7500) [4 per cell]
B (0.2500, 0.2500, 0.2500) [4 per cell]

Computed properties:
uncorrected energy = -7.534 eV per atom


5.
The following is a DFT calculation (PBE) of a geometry-optimized Cu2Ag3 structure.

abc: 14.4903 3.8615 5.7232
angles: 90.00 102.59 90.00
Space group C2/m (No. 12)
Inequivalent atoms, fractional coordinates:
Cu (0.1059, 0.0000, 0.0433) [4 per cell]
Cu (0.2049, 0.5000, 0.8665) [4 per cell]
Ag (0.0043, 0.5000, 0.7638) [4 per cell]
Ag (0.1041, 0.0000, 0.5588) [4 per cell]
Ag (0.1985, 0.5000, 0.3313) [4 per cell]

Computed properties:
formation energy from the elements = 0.09 eV/atom


6.
The following is a DFT calculation (PBE) of a geometry-optimized Be2Tc2Mo structure.

abc: 6.2386 6.2386 3.0665
angles: 90.00 90.00 90.00
Space group P4/mbm (No. 127)
Inequivalent atoms, fractional coordinates:
Be (0.1196, 0.3804, 0.0000) [4 per cell]
Tc (0.1737, 0.6737, 0.5000) [4 per cell]
Mo (0.0000, 0.0000, 0.0000) [2 per cell]

Computed properties:
uncorrected energy = -8.036 eV per atom


7.
The following is a DFT calculation (PBE) of a geometry-optimized Li2NbGa2MoOs2 structure.

abc: 4.3277 4.3277 6.1197
angles: 90.00 90.00 90.00
Space group P-4m2 (No. 115)
Inequivalent atoms, fractional coordinates:
Li (0.0000, 0.5000, 0.2490) [2 per cell]
Nb (0.0000, 0.0000, 0.5000) [1 per cell]
Ga (0.0000, 0.0000, 0.0000) [1 per cell]
Ga (0.5000, 0.5000, 0.5000) [1 per cell]
Mo (0.5000, 0.5000, 0.0000) [1 per cell]
Os (0.0000, 0.5000, 0.7587) [2 per cell]

Computed properties:
uncorrected energy = -6.900 eV per atom


8.
The following is a DFT calculation (PBE) of a geometry-optimized CoReBPt structure.

abc: 5.8072 5.8072 5.8072
angles: 90.00 90.00 90.00
Space group F-43m (No. 216)
Inequivalent atoms, fractional coordinates:
Co (0.0000, 0.0000, 0.0000) [4 per cell]
Re (0.0000, 0.0000, 0.5000) [4 per cell]
B (0.2500, 0.2500, 0.7500) [4 per cell]
Pt (0.2500, 0.2500, 0.2500) [4 per cell]

Computed properties:
uncorrected energy = -7.519 eV per atom


Calculated density (Mg/m³)
9.4 2.7 8.4 7.8 9.6 8.6 10.5 15.3